(1)
Na24In5O15: PBEsol geometry, meta-GGA SCAN.

abc: 11.1205 11.1205 11.1205
angles: 90.00 90.00 90.00
Space group I-43m (No. 217)
Unique sites:
Na: 0.0855 0.3675 0.3675
Na: 0.1088 0.1088 0.3241
In: 0.0000 0.0000 0.0000
In: 0.1433 0.1433 0.8567
O: 0.0000 0.0000 0.5000
O: 0.0476 0.2608 0.7392

Properties
The calculation puts the density at 3.30 g/cm³. Its total energy is -9.598 eV/atom.

=====

(2)
KIr2SeI: PBEsol geometry, meta-GGA SCAN.

abc: 4.5634 4.5634 6.4478
angles: 90.00 90.00 90.00
Space group P4/mmm (No. 123)
Unique sites:
K: 0.0000 0.0000 0.0000
Ir: 0.0000 0.5000 0.5000
Se: 0.0000 0.0000 0.5000
I: 0.5000 0.5000 0.0000

Properties
The calculation puts the density at 7.78 g/cm³. Its total energy is -40.796 eV/atom.